No. 1
DFT (PBE-GGA) results for crystalline TbSiPt3 at its relaxed geometry.

Properties
* DOS(E_F): 2.73 states/eV per cell
* M_tot: 0.0 μB/f.u.
* energy above the most stable polymorph in this dataset: 308 meV/atom
* calculated volume: 192.7 Å³/cell

Cell lengths 5.7004, 6.7092, 5.0386 Å; angles 90.00, 90.00, 90.00 degrees
Space group Pbam (No. 55)
Inequivalent atoms, fractional coordinates:
Tb 0.0000 0.0000 0.0000 [2 per cell]
Si 0.0000 0.5000 0.5000 [2 per cell]
Pt 0.0000 0.5000 0.0000 [2 per cell]
Pt 0.1398 0.1729 0.5000 [4 per cell]



No. 2
DFT (PBE-GGA) results for crystalline Pm2Al3HgPt4 at its relaxed geometry.

Properties
* energy of formation from the pure elements: -0.95 eV per atom
* DOS(E_F): 5.88 states/eV per cell
* M_tot: 0.0 μB/f.u.
* calculated volume: 197.7 Å³/cell

Cell lengths 4.1381, 4.1381, 11.5467 Å; angles 90.00, 90.00, 90.00 degrees
Space group P-4m2 (No. 115)
Inequivalent atoms, fractional coordinates:
Pm 0.0000 0.5000 0.2492 [2 per cell]
Al 0.0000 0.0000 0.0000 [1 per cell]
Al 0.0000 0.5000 0.6236 [2 per cell]
Hg 0.5000 0.5000 0.0000 [1 per cell]
Pt 0.0000 0.0000 0.5000 [1 per cell]
Pt 0.0000 0.5000 0.8358 [2 per cell]
Pt 0.5000 0.5000 0.5000 [1 per cell]



No. 3
DFT (PBE-GGA) results for crystalline AlHgMo2 at its relaxed geometry.

Properties
* energy of formation from the pure elements: 0.23 eV per atom
* DOS(E_F): 5.02 states/eV per cell
* M_tot: 0.0 μB/f.u.
* energy above the most stable polymorph in this dataset: 78 meV/atom
* calculated volume: 139.2 Å³/cell

Cell lengths 3.2262, 4.7120, 9.1560 Å; angles 90.00, 90.00, 90.00 degrees
Space group Cmm2 (No. 35)
Inequivalent atoms, fractional coordinates:
Al 0.0000 0.0000 0.0000 [2 per cell]
Hg 0.0000 0.5000 0.2693 [2 per cell]
Mo 0.0000 0.0000 0.5439 [2 per cell]
Mo 0.0000 0.5000 0.7694 [2 per cell]



No. 4
DFT (PBE-GGA) results for crystalline KP3 at its relaxed geometry.

Properties
* energy of formation from the pure elements: 0.68 eV per atom
* DOS(E_F): 2.73 states/eV per cell
* M_tot: 0.0 μB/f.u.
* energy above the most stable polymorph in this dataset: 783 meV/atom
* calculated volume: 76.0 Å³/cell

Cell lengths 4.2364, 4.2364, 4.2364 Å; angles 90.00, 90.00, 90.00 degrees
Space group Pm-3m (No. 221)
Inequivalent atoms, fractional coordinates:
K 0.0000 0.0000 0.0000 [1 per cell]
P 0.0000 0.5000 0.5000 [3 per cell]



No. 5
DFT (PBE-GGA) results for crystalline Th6IrOs3S2 at its relaxed geometry.

Properties
* DOS(E_F): 11.28 states/eV per cell
* M_tot: 0.0 μB/f.u.
* calculated volume: 601.1 Å³/cell
* total DFT energy (no corrections): -8.85 eV/atom

Cell lengths 18.6504, 4.1090, 8.2495 Å; angles 90.00, 108.05, 90.00 degrees
Space group C2/m (No. 12)
Inequivalent atoms, fractional coordinates:
Th 0.0085 0.0000 0.2473 [4 per cell]
Th 0.1580 0.5000 0.5995 [4 per cell]
Th 0.1641 0.5000 0.1342 [4 per cell]
Ir 0.0000 0.5000 0.5000 [2 per cell]
Os 0.0000 0.5000 0.0000 [2 per cell]
Os 0.1863 0.0000 0.3876 [4 per cell]
S 0.1717 0.0000 0.8706 [4 per cell]



No. 6
DFT (PBE-GGA) results for crystalline Bi2AsPdW at its relaxed geometry.

Properties
* energy of formation from the pure elements: 1.32 eV per atom
* DOS(E_F): 3.68 states/eV per cell
* M_tot: 3.5 μB/f.u.
* calculated volume: 139.8 Å³/cell

Cell lengths 5.5389, 5.5389, 4.5560 Å; angles 90.00, 90.00, 90.00 degrees
Space group P4/mmm (No. 123)
Inequivalent atoms, fractional coordinates:
Bi 0.0000 0.5000 0.0000 [2 per cell]
As 0.0000 0.0000 0.0000 [1 per cell]
Pd 0.0000 0.0000 0.5000 [1 per cell]
W 0.5000 0.5000 0.5000 [1 per cell]